Entry 1:
Compound: ScIrOF2
Source: Alexandria
Functional: PBE
Structure: relaxed

POSCAR file:
```
ScIrOF2
1.0
4.038 0.000 0.000
0.000 4.038 0.000
0.000 0.000 4.263
F Ir O Sc
2 1 1 1
direct
0.000 0.500 0.000 F
0.500 0.000 0.000 F
0.500 0.500 0.500 Ir
0.000 0.000 0.500 O
0.000 0.000 0.000 Sc
```

Results
- offset from the most stable computed form (meV per atom) = 0
- space-group type = No. 123
- E_tot (eV/atom) = -6.27
- raw formation energy (meV/atom) = -1489.7

---

Entry 2:
Compound: ScIrOF2
Source: Alexandria
Functional: PBE
Structure: relaxed

POSCAR file:
```
ScIrOF2
1.0
-0.523 3.119 -3.274
-3.786 -2.104 -1.400
-2.013 2.086 2.309
O Sc F Ir
1 1 2 1
direct
0.000 0.000 0.500 O
0.500 0.500 0.500 Sc
0.000 0.500 0.000 F
0.500 0.000 0.000 F
0.000 0.000 0.000 Ir
```

Results
- offset from the most stable computed form (meV per atom) = 610
- space-group type = No. 123
- E_tot (eV/atom) = -5.66
- raw formation energy (meV/atom) = -879.5

---

Entry 3:
Compound: IrSeOF2
Source: Alexandria
Functional: PBE
Structure: relaxed

POSCAR file:
```
IrSeOF2
1.0
-0.924 -4.053 -1.632
2.656 0.804 -3.499
2.899 -1.416 1.875
Se Ir F O
1 1 2 1
direct
0.500 0.500 0.500 Se
0.000 0.000 0.000 Ir
0.000 0.500 0.000 F
0.500 0.000 0.000 F
0.000 0.000 0.500 O
```

Results
- offset from the most stable computed form (meV per atom) = 0
- space-group type = No. 123
- E_tot (eV/atom) = -4.43
- raw formation energy (meV/atom) = -225.2

---

Entry 4:
Compound: IrSeOF2
Source: Alexandria
Functional: PBE
Structure: relaxed

POSCAR file:
```
IrSeOF2
1.0
4.565 0.000 0.000
0.000 4.565 0.000
0.000 0.000 3.701
O Ir F Se
1 1 2 1
direct
0.000 0.000 0.500 O
0.500 0.500 0.500 Ir
0.000 0.500 0.000 F
0.500 0.000 0.000 F
0.000 0.000 0.000 Se
```

Results
- offset from the most stable computed form (meV per atom) = 675
- space-group type = No. 123
- E_tot (eV/atom) = -3.76
- raw formation energy (meV/atom) = 450.1

---

Entry 5:
Compound: SiIrO2F
Source: Alexandria
Functional: PBE
Structure: relaxed

POSCAR file:
```
SiIrO2F
1.0
3.412 0.000 0.000
0.000 3.412 0.000
0.000 0.000 4.807
O F Si Ir
2 1 1 1
direct
0.000 0.500 0.000 O
0.500 0.000 0.000 O
0.000 0.000 0.500 F
0.000 0.000 0.000 Si
0.500 0.500 0.500 Ir
```

Results
- space-group type = No. 123
- E_tot (eV/atom) = -5.73
- raw formation energy (meV/atom) = -513.1

---

Entry 6:
Compound: SiIrO2F
Source: Alexandria
Functional: PBE
Structure: relaxed

POSCAR file:
```
SiIrO2F
1.0
3.880 0.000 0.000
0.000 3.880 0.000
0.000 0.000 4.466
Ir Si F O
1 1 1 2
direct
0.000 0.000 0.000 Ir
0.500 0.500 0.500 Si
0.000 0.000 0.500 F
0.500 0.000 0.000 O
0.000 0.500 0.000 O
```

Results
- space-group type = No. 123
- E_tot (eV/atom) = -5.35
- raw formation energy (meV/atom) = -136.3

---

Entry 7:
Compound: SnIr2OF
Source: Alexandria
Functional: PBE
Structure: relaxed

POSCAR file:
```
SnIr2OF
1.0
-3.183 1.144 -3.726
-2.926 -2.500 1.732
-1.738 3.889 2.678
Ir O Sn F
2 1 1 1
direct
0.000 0.000 0.500 Ir
0.500 0.000 0.000 Ir
0.500 0.500 0.500 O
0.000 0.000 0.000 Sn
0.000 0.500 0.000 F
```

Results
- space-group type = No. 123
- E_tot (eV/atom) = -4.38
- raw formation energy (meV/atom) = 1335.3

---

Entry 8:
Compound: SrIrO2F
Source: Alexandria
Functional: PBE
Structure: relaxed

POSCAR file:
```
SrIrO2F
1.0
4.630 0.000 0.000
0.000 4.630 0.000
0.000 0.000 4.439
Sr F O Ir
1 1 2 1
direct
0.000 0.000 0.000 Sr
0.000 0.000 0.500 F
0.000 0.500 0.000 O
0.500 0.000 0.000 O
0.500 0.500 0.500 Ir
```

Results
- space-group type = No. 123
- E_tot (eV/atom) = -4.40
- raw formation energy (meV/atom) = 65.8

---

Entry 9:
Compound: SrIrO2F
Source: Alexandria
Functional: PBE
Structure: relaxed

POSCAR file:
```
SrIrO2F
1.0
3.805 0.000 0.000
0.000 3.805 0.000
0.000 0.000 5.589
O F Ir Sr
2 1 1 1
direct
0.500 0.000 0.000 O
0.000 0.500 0.000 O
0.000 0.000 0.500 F
0.000 0.000 0.000 Ir
0.500 0.500 0.500 Sr
```

Results
- space-group type = No. 123
- E_tot (eV/atom) = -6.08
- raw formation energy (meV/atom) = -1614.9

---

Entry 10:
Compound: TaIrOF2
Source: Alexandria
Functional: PBE
Structure: relaxed

POSCAR file:
```
TaIrOF2
1.0
-0.848 -4.153 0.977
2.385 -1.061 -2.438
3.125 0.074 3.025
O Ta F Ir
1 1 2 1
direct
0.000 0.000 0.000 O
0.500 0.500 0.500 Ta
0.000 0.000 0.500 F
0.500 0.000 0.000 F
0.000 0.500 0.000 Ir
```

Results
- offset from the most stable computed form (meV per atom) = 825
- space-group type = No. 123
- E_tot (eV/atom) = -5.85
- raw formation energy (meV/atom) = 33.4

---

Entry 11:
Compound: TaIrOF2
Source: Alexandria
Functional: PBE
Structure: relaxed

POSCAR file:
```
TaIrOF2
1.0
-0.970 -2.916 -2.810
2.823 -2.559 1.680
-2.744 -1.430 2.432
Ir Ta O F
1 1 1 2
direct
0.500 0.500 0.500 Ir
0.000 0.000 0.000 Ta
0.000 0.000 0.500 O
0.000 0.500 0.000 F
0.500 0.000 0.000 F
```

Results
- offset from the most stable computed form (meV per atom) = 0
- space-group type = No. 123
- E_tot (eV/atom) = -6.67
- raw formation energy (meV/atom) = -791.4

---

Entry 12:
Compound: TaIrOF2
Source: Alexandria
Functional: PBE
Structure: relaxed

POSCAR file:
```
TaIrOF2
1.0
4.605 0.000 0.000
0.000 4.605 0.000
0.000 0.000 3.641
Ta O F Ir
1 1 2 1
direct
0.500 0.500 0.500 Ta
0.000 0.000 0.500 O
0.000 0.500 0.000 F
0.500 0.000 0.000 F
0.000 0.000 0.000 Ir
```

Results
- offset from the most stable computed form (meV per atom) = 1047
- space-group type = No. 123
- E_tot (eV/atom) = -5.63
- raw formation energy (meV/atom) = 255.3

---

Entry 13:
Compound: TeIrOF2
Source: Alexandria
Functional: PBE
Structure: relaxed

POSCAR file:
```
TeIrOF2
1.0
4.694 0.000 0.000
0.000 4.694 0.000
0.000 0.000 3.670
Te F O Ir
1 2 1 1
direct
0.500 0.500 0.500 Te
0.500 0.000 0.000 F
0.000 0.500 0.000 F
0.000 0.000 0.500 O
0.000 0.000 0.000 Ir
```

Results
- offset from the most stable computed form (meV per atom) = 0
- space-group type = No. 123
- E_tot (eV/atom) = -4.45
- raw formation energy (meV/atom) = -305.7

---

Entry 14:
Compound: TeIrOF2
Source: Alexandria
Functional: PBE
Structure: relaxed

POSCAR file:
```
TeIrOF2
1.0
-0.278 -4.226 1.728
0.372 -1.746 -4.211
4.051 -0.103 0.400
Te O F Ir
1 1 2 1
direct
0.000 0.000 0.000 Te
0.000 0.000 0.500 O
0.000 0.500 0.000 F
0.500 0.000 0.000 F
0.500 0.500 0.500 Ir
```

Results
- offset from the most stable computed form (meV per atom) = 497
- space-group type = No. 123
- E_tot (eV/atom) = -3.95
- raw formation energy (meV/atom) = 191.1